A plane-wave DFT calculation with PBE was carried out for crystalline LiErNi at its relaxed geometry.

## Properties
The calculation puts the magnetic moment at 0.00 Bohr magnetons per cell. The energy relative to the lowest polymorph listed for this composition comes out at 0.0 kJ/mol of formula units. The calculation puts the mass density at 7.14 Mg/m³. The formation energy from the elements is -0.7 eV per formula unit. The value obtained for the total energy is -4.31 eV/atom. Its density of states at the Fermi level is 7.3 states/eV/cell.

abc: 7.050 3.748 12.293
angles: 90.00 91.06 90.00
Space group P2_1/m (No. 11)
Asymmetric unit:
Li (0.013, 0.250, 0.079)
Li (0.126, 0.750, 0.536)
Li (0.374, 0.250, 0.199)
Er (0.055, 0.750, 0.284)
Er (0.343, 0.250, 0.915)
Er (0.451, 0.250, 0.622)
Ni (0.240, 0.750, 0.751)
Ni (0.259, 0.250, 0.412)
Ni (0.260, 0.750, 0.076)